Entry 1:
Here is Tb3Pr8Sm4 after structural relaxation from Alexandria. Energies are from PBE.

Lattice parameters (Å, degrees): 7.1126 7.1126 12.7773 73.84 73.84 60.00
With the nearest neighbours (Å) after each atom.
Fractional positions:
Pr 0.2499 0.7525 0.7478  6 Pr 3.54-3.58, 3 Sm 3.61-3.67, 2 Tb 3.63
Pr 0.7540 0.7540 0.7381  1 Sm 3.26, 3 Tb 3.54, 6 Pr 3.56
Pr 0.7501 0.7501 0.2523  6 Pr 3.54-3.58, 3 Sm 3.61-3.67, 2 Tb 3.63
Pr 0.2460 0.2460 0.2619  1 Sm 3.26, 3 Tb 3.54, 6 Pr 3.56
Pr 0.7525 0.2499 0.7478  6 Pr 3.54-3.58, 3 Sm 3.61-3.67, 2 Tb 3.63
Pr 0.2475 0.7501 0.2522  6 Pr 3.54-3.58, 3 Sm 3.61-3.67, 2 Tb 3.63
Pr 0.7501 0.2475 0.2522  6 Pr 3.54-3.58, 3 Sm 3.61-3.67, 2 Tb 3.63
Pr 0.2499 0.2499 0.7477  6 Pr 3.54-3.58, 3 Sm 3.61-3.67, 2 Tb 3.63
Sm 0.0000 0.0000 0.0000  6 Pr 3.67, 6 Sm 4.11
Sm 0.5000 0.5000 0.5000  6 Tb 3.56, 6 Pr 3.64
Sm 0.3359 0.3359 0.9923  4 Pr 3.26-3.61
Sm 0.6641 0.6641 0.0077  4 Pr 3.26-3.61
Tb 0.0000 0.0000 0.5000  6 Pr 3.54-3.63, 2 Sm 3.56, 4 Tb 3.56
Tb 0.5000 0.0000 0.5000  6 Pr 3.54-3.63, 4 Tb 3.56, 2 Sm 3.56
Tb 0.0000 0.5000 0.5000  6 Pr 3.54-3.63, 4 Tb 3.56, 2 Sm 3.56

Results
Distance to the lowest polymorph of the same formula: 0 meV/atom
E_tot: -4.6007 eV per atom



Entry 2:
Here is LaScAg2Pb after structural relaxation from Alexandria. Energies are from PBE.

Lattice parameters (Å, degrees): 5.1181 5.7783 5.1181 90.00 90.00 90.00
With the nearest neighbours (Å) after each atom.
Fractional positions:
La 0.0000 0.5000 0.0000  2 Sc 2.89
Ag 0.5000 0.0000 0.0000  2 Sc 2.56
Ag 0.0000 0.0000 0.5000  2 Sc 2.56
Pb 0.5000 0.5000 0.5000  4 La 3.62, 8 Ag 3.86
Sc 0.0000 0.0000 0.0000  4 Ag 2.56

Results
E_tot: -3.6179 eV per atom